Entry 1:
# GdTc2 (PBE, relaxed)
data_GdTc2
_chemical_formula_sum 'Gd4 Tc8'
_space_group_name_H-M_alt 'F m -3 m'
_space_group_IT_number 225
_space_group_name_Hall '-F 4 2 3'
_cell_length_a 6.338
_cell_length_b 6.338
_cell_length_c 6.338
_cell_angle_alpha 90.00
_cell_angle_beta 90.00
_cell_angle_gamma 90.00
loop_
_atom_site_label
_atom_site_fract_x
_atom_site_fract_y
_atom_site_fract_z
_atom_site_occupancy
Gd1 0.000 0.000 0.000 1
Tc1 0.250 0.250 0.250 1
# Formation enthalpy at 0 K: 4.54 eV/f.u.
# Crystal system: cubic
# Polymorph energy (0 for the lowest one): 1641 meV/atom

***

Entry 2:
# Si16Ge12P3Au (PBE, relaxed)
data_Si16Ge12P3Au
_chemical_formula_sum 'Si16 Ge12 P3 Au1'
_space_group_name_H-M_alt 'P 1'
_space_group_IT_number 1
_cell_length_a 6.800
_cell_length_b 10.398
_cell_length_c 10.403
_cell_angle_alpha 81.76
_cell_angle_beta 83.81
_cell_angle_gamma 71.04
loop_
_space_group_symop_operation_xyz
'x,y,z'
loop_
_atom_site_label
_atom_site_fract_x
_atom_site_fract_y
_atom_site_fract_z
_atom_site_occupancy
Si1 0.000 0.000 0.000 1
Si2 0.000 0.490 0.500 1
Si3 0.005 0.618 0.115 1
Si4 0.007 0.869 0.376 1
Si5 0.128 0.880 0.580 1
Si6 0.135 0.261 0.454 1
Si7 0.139 0.766 0.956 1
Si8 0.145 0.379 0.076 1
Si9 0.504 0.183 0.441 1
Si10 0.506 0.555 0.298 1
Si11 0.509 0.304 0.070 1
Si12 0.517 0.925 0.185 1
Si13 0.618 0.320 0.270 1
Si14 0.619 0.202 0.640 1
Si15 0.627 0.076 0.026 1
Si16 0.631 0.698 0.133 1
Ge1 0.009 0.737 0.758 1
Ge2 0.129 0.632 0.326 1
Ge3 0.138 0.009 0.203 1
Ge4 0.143 0.495 0.702 1
Ge5 0.504 0.801 0.563 1
Ge6 0.505 0.063 0.819 1
Ge7 0.522 0.430 0.694 1
Ge8 0.620 0.823 0.775 1
Ge9 0.626 0.566 0.503 1
Ge10 0.631 0.950 0.390 1
Ge11 0.995 0.251 0.251 1
Ge12 0.998 0.120 0.627 1
P1 0.013 0.364 0.882 1
P2 0.127 0.141 0.836 1
P3 0.499 0.684 0.944 1
Au1 0.640 0.447 0.908 1
# E_tot: -5.0202 eV/atom
# Crystal system: triclinic

***

Entry 3:
# CoSiGe (PBE, relaxed)
data_CoSiGe
_chemical_formula_sum 'Co4 Si4 Ge4'
_space_group_name_H-M_alt 'F -4 3 m'
_space_group_IT_number 216
_space_group_name_Hall 'F -4 2 3'
_cell_length_a 5.511
_cell_length_b 5.511
_cell_length_c 5.511
_cell_angle_alpha 90.00
_cell_angle_beta 90.00
_cell_angle_gamma 90.00
loop_
_atom_site_label
_atom_site_fract_x
_atom_site_fract_y
_atom_site_fract_z
_atom_site_occupancy
Co1 0.000 0.000 0.000 1
Si1 0.250 0.250 0.250 1
Ge1 0.250 0.250 0.750 1
# E_tot: -5.9703 eV/atom
# Crystal system: cubic

***

Entry 4:
# ThNiGe2 (PBE, relaxed)
data_ThNiGe2
_chemical_formula_sum 'Th4 Ni4 Ge8'
_space_group_name_H-M_alt 'C m c m'
_space_group_IT_number 63
_space_group_name_Hall '-C 2c 2'
_cell_length_a 4.244
_cell_length_b 16.685
_cell_length_c 4.283
_cell_angle_alpha 90.00
_cell_angle_beta 90.00
_cell_angle_gamma 90.00
loop_
_atom_site_label
_atom_site_fract_x
_atom_site_fract_y
_atom_site_fract_z
_atom_site_occupancy
Th1 0.000 0.108 0.250 1
Ni1 0.000 0.319 0.250 1
Ge1 0.000 0.249 0.750 1
Ge2 0.000 0.459 0.250 1
# E_tot: -6.2934 eV/atom
# Crystal system: orthorhombic

***

Entry 5:
# CsTeIrO (PBE, relaxed)
data_CsTeIrO
_chemical_formula_sum 'Cs2 Te2 Ir2 O2'
_space_group_name_H-M_alt 'P m c 21'
_space_group_IT_number 26
_cell_length_a 4.913
_cell_length_b 7.663
_cell_length_c 7.376
_cell_angle_alpha 90.00
_cell_angle_beta 90.00
_cell_angle_gamma 90.00
loop_
_space_group_symop_operation_xyz
'x,y,z'
'-x,-y,z+1/2'
'-x,y,z'
'x,-y,z+1/2'
loop_
_atom_site_label
_atom_site_fract_x
_atom_site_fract_y
_atom_site_fract_z
_atom_site_occupancy
Cs1 0.000 0.181 0.000 1
Te1 0.000 0.325 0.491 1
Ir1 0.500 0.466 0.481 1
O1 0.500 0.497 0.230 1
# Crystal system: orthorhombic
# Polymorph energy (0 for the lowest one): 0 meV/atom

***

Entry 6:
# AgICl (PBE, relaxed)
data_AgICl
_chemical_formula_sum 'Ag2 I2 Cl2'
_space_group_name_H-M_alt 'C 1 m 1'
_space_group_IT_number 8
_cell_length_a 8.148
_cell_length_b 3.759
_cell_length_c 7.116
_cell_angle_alpha 90.00
_cell_angle_beta 118.30
_cell_angle_gamma 90.00
loop_
_space_group_symop_operation_xyz
'x,y,z'
'x,-y,z'
'x+1/2,y+1/2,z'
'x+1/2,-y+1/2,z'
loop_
_atom_site_label
_atom_site_fract_x
_atom_site_fract_y
_atom_site_fract_z
_atom_site_occupancy
Ag1 0.000 0.000 0.000 1
I1 0.493 0.000 0.281 1
Cl1 0.007 0.500 0.769 1
# Crystal system: monoclinic
# Polymorph energy (0 for the lowest one): 0 meV/atom

***

Entry 7:
# Cd2PdAu2 (PBE, relaxed)
data_Cd2PdAu2
_chemical_formula_sum 'Cd4 Pd2 Au4'
_space_group_name_H-M_alt 'I 4/m m m'
_space_group_IT_number 139
_space_group_name_Hall '-I 4 2'
_cell_length_a 3.861
_cell_length_b 3.861
_cell_length_c 13.313
_cell_angle_alpha 90.00
_cell_angle_beta 90.00
_cell_angle_gamma 90.00
loop_
_atom_site_label
_atom_site_fract_x
_atom_site_fract_y
_atom_site_fract_z
_atom_site_occupancy
Cd1 0.000 0.000 0.097 1
Pd1 0.000 0.000 0.500 1
Au1 0.000 0.500 0.250 1
# Formation enthalpy at 0 K: -0.10 eV/f.u.
# Crystal system: tetragonal
# Polymorph energy (0 for the lowest one): 0 meV/atom

***

Entry 8:
# Hg2B2O5 (PBE, relaxed)
data_Hg2B2O5
_chemical_formula_sum 'Hg2 B2 O5'
_space_group_name_H-M_alt 'P 4/m m m'
_space_group_IT_number 123
_space_group_name_Hall '-P 4 2'
_cell_length_a 3.464
_cell_length_b 3.464
_cell_length_c 7.206
_cell_angle_alpha 90.00
_cell_angle_beta 90.00
_cell_angle_gamma 90.00
loop_
_atom_site_label
_atom_site_fract_x
_atom_site_fract_y
_atom_site_fract_z
_atom_site_occupancy
Hg1 0.000 0.000 0.000 1
Hg2 0.000 0.000 0.500 1
B1 0.500 0.500 0.201 1
O1 0.000 0.500 0.260 1
O2 0.500 0.500 0.000 1
# Crystal system: tetragonal
# Polymorph energy (0 for the lowest one): 0 meV/atom

***

Entry 9:
# Na2TaNbAl2Co2 (PBE, relaxed)
data_Na2TaNbAl2Co2
_chemical_formula_sum 'Na2 Ta1 Nb1 Al2 Co2'
_space_group_name_H-M_alt 'P -4 m 2'
_space_group_IT_number 115
_cell_length_a 4.366
_cell_length_b 4.366
_cell_length_c 6.176
_cell_angle_alpha 90.00
_cell_angle_beta 90.00
_cell_angle_gamma 90.00
loop_
_space_group_symop_operation_xyz
'x,y,z'
'y,-x,-z'
'-x,-y,z'
'-y,x,-z'
'-x,y,z'
'-y,-x,-z'
'x,-y,z'
'y,x,-z'
loop_
_atom_site_label
_atom_site_fract_x
_atom_site_fract_y
_atom_site_fract_z
_atom_site_occupancy
Na1 0.000 0.500 0.247 1
Ta1 0.500 0.500 0.500 1
Nb1 0.000 0.000 0.000 1
Al1 0.000 0.000 0.500 1
Al2 0.500 0.500 0.000 1
Co1 0.000 0.500 0.748 1
# E_tot: -5.5394 eV/atom
# Crystal system: tetragonal

***

Entry 10:
# Li2PrPb2 (PBE, relaxed)
data_Li2PrPb2
_chemical_formula_sum 'Li2 Pr1 Pb2'
_space_group_name_H-M_alt 'P 4/m m m'
_space_group_IT_number 123
_space_group_name_Hall '-P 4 2'
_cell_length_a 4.795
_cell_length_b 4.795
_cell_length_c 5.316
_cell_angle_alpha 90.00
_cell_angle_beta 90.00
_cell_angle_gamma 90.00
loop_
_atom_site_label
_atom_site_fract_x
_atom_site_fract_y
_atom_site_fract_z
_atom_site_occupancy
Li1 0.000 0.000 0.228 1
Pr1 0.500 0.500 0.000 1
Pb1 0.000 0.500 0.500 1
# E_tot: -3.4908 eV/atom
# Crystal system: tetragonal

***

Entry 11:
# CdH16C26N2O8 (PBE, relaxed)
data_CdH16C26N2O8
_chemical_formula_sum 'Cd2 H32 C52 N4 O16'
_space_group_name_H-M_alt 'P 1 21/c 1'
_space_group_IT_number 14
_cell_length_a 15.427
_cell_length_b 6.745
_cell_length_c 9.770
_cell_angle_alpha 90.00
_cell_angle_beta 91.61
_cell_angle_gamma 90.00
loop_
_space_group_symop_operation_xyz
'x,y,z'
'-x,-y,-z'
'-x,y+1/2,-z+1/2'
'x,-y+1/2,z+1/2'
loop_
_atom_site_label
_atom_site_fract_x
_atom_site_fract_y
_atom_site_fract_z
_atom_site_occupancy
Cd1 0.000 0.000 0.000 1
H1 0.108 0.101 0.513 1
H2 0.178 0.595 0.887 1
H3 0.222 0.036 0.983 1
H4 0.266 0.618 0.682 1
H5 0.326 0.007 0.794 1
H6 0.398 0.136 0.618 1
H7 0.438 0.573 0.466 1
H8 0.485 0.123 0.408 1
C1 0.013 0.625 0.798 1
C2 0.083 0.098 0.726 1
C3 0.137 0.086 0.615 1
C4 0.200 0.050 0.877 1
C5 0.226 0.050 0.635 1
C6 0.245 0.545 0.892 1
C7 0.257 0.036 0.771 1
C8 0.281 0.028 0.516 1
C9 0.295 0.559 0.777 1
C10 0.368 0.084 0.521 1
C11 0.381 0.003 0.282 1
C12 0.418 0.076 0.405 1
C13 0.435 0.505 0.660 1
N1 0.114 0.078 0.856 1
O1 0.038 0.687 0.915 1
O2 0.065 0.579 0.703 1
O3 0.397 0.583 0.550 1
O4 0.488 0.559 0.337 1
# E_tot: -6.9158 eV/atom
# Crystal system: monoclinic

***

Entry 12:
# MgScZnAs (PBE, relaxed)
data_MgScZnAs
_chemical_formula_sum 'Mg4 Sc4 Zn4 As4'
_space_group_name_H-M_alt 'F -4 3 m'
_space_group_IT_number 216
_space_group_name_Hall 'F -4 2 3'
_cell_length_a 6.796
_cell_length_b 6.796
_cell_length_c 6.796
_cell_angle_alpha 90.00
_cell_angle_beta 90.00
_cell_angle_gamma 90.00
loop_
_atom_site_label
_atom_site_fract_x
_atom_site_fract_y
_atom_site_fract_z
_atom_site_occupancy
Mg1 0.000 0.000 0.000 1
Sc1 0.250 0.250 0.250 1
Zn1 0.250 0.250 0.750 1
As1 0.000 0.000 0.500 1
# Crystal system: cubic
# Polymorph energy (0 for the lowest one): 228 meV/atom